[1]
Compound: SbHF2
Source: Alexandria via LeMat-Bulk
Functional: GGA-PBE
Structure: optimized geometry

Calculated values
As for the crystal system: trigonal. The polymorph energy (0 for the lowest one) is 0.0000 eV per atom.

Unit cell a=6.6443 b=6.6443 c=6.6443 alpha=27.89 beta=27.89 gamma=27.89
Fractional coordinates of all 4 atoms:
Sb: 0.5000 0.5000 0.5000
H: 0.0000 0.0000 0.0000
F: 0.9398 0.9398 0.9398
F: 0.0602 0.0602 0.0602

=====

[2]
Compound: SbH2F3
Source: Alexandria via LeMat-Bulk
Functional: GGA-PBE
Structure: optimized geometry

Calculated values
The value obtained for the total energy is -4.219 eV/atom. As for the crystal system: triclinic.

Unit cell a=7.2000 b=9.2196 c=10.6285 alpha=81.09 beta=119.95 gamma=153.17
Fractional coordinates of all 12 atoms:
Sb: 0.3491 0.2135 0.3489
Sb: 0.6509 0.7865 0.6511
H: 0.9536 0.4677 0.1377
H: 0.6264 0.2734 0.3134
H: 0.0464 0.5323 0.8623
H: 0.3736 0.7266 0.6866
F: 0.1601 0.3072 0.6908
F: 0.4723 0.6818 0.0256
F: 0.8399 0.6928 0.3092
F: 0.5277 0.3182 0.9744
F: 0.2786 0.6027 0.2570
F: 0.7214 0.3973 0.7430